Material: La2GaSnAu6
Method: DFT, GGA-PBE
State: optimized geometry

## Properties
**Fermi-level density of states**: 0.58 states/eV per atom
**E_tot**: -4.177 eV per atom

abc: 5.799 9.367 8.908
angles: 90.00 90.00 90.00
Fractional positions:
Sn  0.000  0.721  0.500
Sn  0.500  0.279  0.000
Au  0.500  0.106  0.246
Au  0.000  0.894  0.746
Au  0.000  0.894  0.254
Au  0.754  0.015  0.500
Au  0.747  0.477  0.500
Au  0.246  0.015  0.500
Au  0.254  0.985  0.000
Au  0.253  0.477  0.500
Au  0.746  0.985  0.000
Au  0.500  0.106  0.754
Au  0.753  0.523  0.000
Au  0.247  0.523  0.000
La  0.500  0.739  0.246
La  0.500  0.739  0.754
La  0.000  0.261  0.746
La  0.000  0.261  0.254
Ga  0.500  0.252  0.500
Ga  0.000  0.748  0.000



Material: SrLaGaAu
Method: DFT, GGA-PBE
State: optimized geometry

## Properties
**Fermi-level density of states**: 1.12 states/eV per atom
**E_tot**: -3.817 eV per atom

abc: 5.400 5.400 5.400
angles: 60.00 60.00 60.00
Fractional positions:
Au  0.250  0.250  0.250
Sr  0.000  0.000  0.000
Ga  0.750  0.750  0.750
La  0.500  0.500  0.500



Material: LaGaTcAu2
Method: DFT, GGA-PBE
State: optimized geometry

## Properties
**Fermi-level density of states**: 0.48 states/eV per atom
**E_tot**: -3.944 eV per atom

abc: 5.723 4.858 5.723
angles: 90.00 90.00 90.00
Fractional positions:
Au  0.000  0.000  0.500
Au  0.500  0.000  0.000
Ga  0.500  0.500  0.500
Tc  0.000  0.500  0.000
La  0.000  0.000  0.000



| no. | DFT formation energy (eV/atom) | theoretical density (g/cm³) | volume (Å³ per cell) |
| --- | --- | --- | --- |
| 1 | -0.5223 | 11.312 | 483.9 |
| 2 | -0.5884 | 7.357 | 111.3 |
| 3 | 1.0311 | 7.310 | 159.1 |